Arrangement a

LiSiW: single point on PBEsol structure, SCAN.

space-group type	Imm2, No. 44

Geometry as extended XYZ:
```
3
Lattice="-1.3404 1.8138 4.0838 1.3404 -1.8138 4.0838 1.3404 1.8138 -4.0838" Properties=species:S:1:pos:R:3 pbc="T T T"
Li 0.0000 0.0000 0.0000
Si 0.0000 0.0000 5.3106
W 0.0000 0.0000 2.6139
```

Arrangement b

LiSiW: single point on PBEsol structure, SCAN.

space-group type	I4mm, No. 107

Geometry as extended XYZ:
```
3
Lattice="-1.3250 1.3250 6.3349 1.3250 -1.3250 6.3349 1.3250 1.3250 -6.3349" Properties=species:S:1:pos:R:3 pbc="T T T"
Li 0.0000 0.0000 0.0000
Si 0.0000 0.0000 8.4412
W 0.0000 0.0000 4.0141
```

Which of them is the most stable, and which is the least stable? arrangement a and arrangement b, in that order.

Arrangement a

SrLi3Sn: single point on PBEsol structure, SCAN.

space-group type	Pm-3m, No. 221

Geometry as extended XYZ:
```
5
Lattice="5.1321 0.0000 0.0000 0.0000 5.1321 0.0000 0.0000 0.0000 5.1321" Properties=species:S:1:pos:R:3 pbc="T T T"
Sr 0.0000 0.0000 0.0000
Li 0.0000 2.5660 2.5660
Li 2.5660 0.0000 2.5660
Li 2.5660 2.5660 0.0000
Sn 2.5660 2.5660 2.5660
```

Arrangement b

SrLi3Sn: single point on PBEsol structure, SCAN.

space-group type	Pm-3m, No. 221

Geometry as extended XYZ:
```
5
Lattice="5.3033 0.0000 0.0000 0.0000 5.3033 0.0000 0.0000 0.0000 5.3033" Properties=species:S:1:pos:R:3 pbc="T T T"
Sr 0.0000 0.0000 0.0000
Li 0.0000 0.0000 2.6517
Li 0.0000 2.6517 0.0000
Li 2.6517 0.0000 0.0000
Sn 2.6517 2.6517 2.6517
```

Which of them is the most stable, and which is the least stable? arrangement a and arrangement b, in that order.